[1]
VASP calculation (PBE) on a relaxed Pr3YHo2Se6 crystal. Values from VASP.

Results
- symmetry = No. 12
- raw formation energy (eV per atom) = -1.80

Cell and atoms, written as Quantum ESPRESSO input:
```
&SYSTEM
  ibrav = 0, nat = 12, ntyp = 4
/
ATOMIC_SPECIES
Pr 140.91 Pr.upf
Se 78.96 Se.upf
Ho 164.93 Ho.upf
Y 88.91 Y.upf
CELL_PARAMETERS angstrom
7.141 -0.017 -0.004
-3.583 6.177 -0.004
-1.190 -2.061 6.968
ATOMIC_POSITIONS angstrom
Pr -2.404 4.121 3.480
Pr 4.771 -0.022 3.480
Se 2.364 4.093 1.604
Se 0.004 0.007 5.356
Se -0.026 4.108 5.348
Ho -0.006 4.111 -0.004
Se -1.204 2.069 1.613
Ho 3.563 2.050 -0.004
Se 2.393 -0.009 1.613
Pr 1.184 2.050 3.480
Se 3.571 2.030 5.348
Y 0.000 0.000 0.000
```

---

[2]
VASP calculation (PBE) on a relaxed Dy2CoS crystal. Values from VASP.

Results
- symmetry = No. 166
- energy relative to the lowest polymorph listed for this composition (eV per formula unit) = 3.15
- raw formation energy (eV per atom) = -0.32

Cell and atoms, written as Quantum ESPRESSO input:
```
&SYSTEM
  ibrav = 0, nat = 4, ntyp = 3
/
ATOMIC_SPECIES
Dy 162.50 Dy.upf
Co 58.93 Co.upf
S 32.06 S.upf
CELL_PARAMETERS angstrom
-2.710 1.289 -1.935
-0.720 -1.387 -3.210
-6.352 -5.611 1.863
ATOMIC_POSITIONS angstrom
Dy -4.957 -1.734 -4.095
Dy -4.824 -3.974 0.814
Co 0.000 0.000 0.000
S -4.891 -2.854 -1.641
```

---

[3]
VASP calculation (PBE) on a relaxed Tb2Nd2S3 crystal. Values from VASP.

Results
- symmetry = No. 2
- raw formation energy (eV per atom) = -1.72

Cell and atoms, written as Quantum ESPRESSO input:
```
&SYSTEM
  ibrav = 0, nat = 7, ntyp = 3
/
ATOMIC_SPECIES
S 32.06 S.upf
Nd 144.24 Nd.upf
Tb 158.93 Tb.upf
CELL_PARAMETERS angstrom
-3.443 -1.888 0.034
4.676 -4.493 -2.142
0.606 -0.979 6.826
ATOMIC_POSITIONS angstrom
S 1.932 -3.453 4.129
S 0.000 0.000 0.000
Nd 0.965 -1.733 2.065
Tb 2.270 -4.160 -0.797
S -0.094 -3.907 0.590
Nd 0.873 -5.626 2.654
Tb -0.432 -3.200 5.515
```

---

[4]
VASP calculation (PBE) on a relaxed Pm2Nd4Dy5 crystal. Values from VASP.

Results
- symmetry = No. 12
- energy relative to the lowest polymorph listed for this composition (eV per formula unit) = 0.14
- energy relative to the elements (eV per atom) = 0.12

Cell and atoms, written as Quantum ESPRESSO input:
```
&SYSTEM
  ibrav = 0, nat = 11, ntyp = 3
/
ATOMIC_SPECIES
Pm 145.00 Pm.upf
Dy 162.50 Dy.upf
Nd 144.24 Nd.upf
CELL_PARAMETERS angstrom
-0.609 -1.375 -7.349
3.527 -4.744 -3.233
-4.767 -8.695 -1.807
ATOMIC_POSITIONS angstrom
Pm -1.281 -11.785 -5.346
Dy -0.620 -6.719 -2.520
Nd -2.369 -5.907 -6.356
Dy -2.830 -9.354 -7.347
Dy 0.981 -5.459 -5.042
Nd 0.012 -2.591 -3.345
Nd 0.520 -8.907 -6.034
Dy -2.564 -8.753 -4.133
Dy 0.715 -6.061 -8.257
Nd -1.861 -12.223 -9.045
Pm -0.568 -3.029 -7.043
```

---

[5]
VASP calculation (PBE) on a relaxed HoZn4Rh crystal. Values from VASP.

Results
- symmetry = No. 216
- energy relative to the elements (eV per atom) = -0.47

Cell and atoms, written as Quantum ESPRESSO input:
```
&SYSTEM
  ibrav = 0, nat = 6, ntyp = 3
/
ATOMIC_SPECIES
Zn 65.41 Zn.upf
Rh 102.91 Rh.upf
Ho 164.93 Ho.upf
CELL_PARAMETERS angstrom
5.117 0.000 0.000
2.559 4.432 0.000
2.559 1.477 4.178
ATOMIC_POSITIONS angstrom
Zn 5.117 2.955 0.507
Zn 3.826 3.700 2.616
Zn 6.409 3.700 2.616
Rh 0.000 0.000 0.000
Zn 5.117 1.463 2.616
Ho 2.559 1.477 1.045
```

---

[6]
VASP calculation (PBE) on a relaxed TaRe2As crystal. Values from VASP.

Results
- symmetry = No. 65
- energy relative to the elements (eV per atom) = 0.26

Cell and atoms, written as Quantum ESPRESSO input:
```
&SYSTEM
  ibrav = 0, nat = 4, ntyp = 3
/
ATOMIC_SPECIES
As 74.92 As.upf
Re 186.21 Re.upf
Ta 180.95 Ta.upf
CELL_PARAMETERS angstrom
4.662 0.033 0.000
-1.564 4.393 0.000
0.000 0.000 3.112
ATOMIC_POSITIONS angstrom
As -0.782 2.196 1.556
Re 1.549 2.213 0.000
Ta 2.331 0.017 1.556
Re 0.000 0.000 0.000
```

---

[7]
VASP calculation (PBE) on a relaxed Pm2NdSmSb4 crystal. Values from VASP.

Results
- symmetry = No. 10
- raw formation energy (eV per atom) = -1.18

Cell and atoms, written as Quantum ESPRESSO input:
```
&SYSTEM
  ibrav = 0, nat = 8, ntyp = 4
/
ATOMIC_SPECIES
Sb 121.76 Sb.upf
Nd 144.24 Nd.upf
Pm 145.00 Pm.upf
Sm 150.36 Sm.upf
CELL_PARAMETERS angstrom
4.497 0.000 0.000
0.000 7.784 -0.154
0.000 2.739 7.288
ATOMIC_POSITIONS angstrom
Sb 2.248 3.998 5.416
Nd 2.248 3.892 -0.077
Pm 0.000 2.739 7.288
Sb 0.000 7.893 5.337
Sb 4.497 2.629 1.796
Pm 2.248 1.369 3.644
Sb 2.248 6.525 1.717
Sm 0.000 5.261 3.567
```

---

[8]
VASP calculation (PBE) on a relaxed CaTl2Fe crystal. Values from VASP.

Results
- symmetry = No. 123
- energy relative to the elements (eV per atom) = 0.17

Cell and atoms, written as Quantum ESPRESSO input:
```
&SYSTEM
  ibrav = 0, nat = 4, ntyp = 3
/
ATOMIC_SPECIES
Ca 40.08 Ca.upf
Tl 204.38 Tl.upf
Fe 55.84 Fe.upf
CELL_PARAMETERS angstrom
-0.536 -0.738 -3.412
-2.594 -2.227 0.886
-4.915 5.556 -0.429
ATOMIC_POSITIONS angstrom
Ca -2.794 -0.093 -1.370
Tl -2.657 3.003 -0.232
Fe -5.252 2.684 -1.585
Tl -4.716 5.330 -0.412
```

---

[9]
VASP calculation (PBE) on a relaxed NaPmTl crystal. Values from VASP.

Results
- symmetry = No. 107
- energy relative to the lowest polymorph listed for this composition (eV per formula unit) = 0.45
- energy relative to the elements (eV per atom) = -0.03

Cell and atoms, written as Quantum ESPRESSO input:
```
&SYSTEM
  ibrav = 0, nat = 3, ntyp = 3
/
ATOMIC_SPECIES
Na 22.99 Na.upf
Tl 204.38 Tl.upf
Pm 145.00 Pm.upf
CELL_PARAMETERS angstrom
3.817 0.000 0.000
0.000 3.817 0.000
-1.908 -1.908 6.361
ATOMIC_POSITIONS angstrom
Na 1.908 1.908 1.230
Tl 1.908 1.908 5.742
Pm 0.000 0.000 3.842
```

---

[10]
VASP calculation (PBE) on a relaxed Pr2UN3 crystal. Values from VASP.

Results
- symmetry = No. 15
- energy relative to the lowest polymorph listed for this composition (eV per formula unit) = 0.30
- raw formation energy (eV per atom) = -1.34

Cell and atoms, written as Quantum ESPRESSO input:
```
&SYSTEM
  ibrav = 0, nat = 12, ntyp = 3
/
ATOMIC_SPECIES
N 14.01 N.upf
Pr 140.91 Pr.upf
U 238.03 U.upf
CELL_PARAMETERS angstrom
-0.130 4.463 4.242
-5.179 -3.063 1.567
5.549 -2.490 1.294
ATOMIC_POSITIONS angstrom
N -0.704 0.534 2.988
N 2.709 0.986 2.768
Pr -4.307 -1.899 2.604
Pr -2.629 0.426 4.681
N 0.729 2.845 5.071
Pr 4.546 0.809 4.499
N -2.590 -1.531 0.783
Pr 2.868 -1.516 2.422
U 0.991 0.619 4.589
N -0.490 -3.936 2.032
N 0.943 -1.624 4.115
U -0.752 -1.709 2.514
```

---

[11]
VASP calculation (PBE) on a relaxed La2ReSe crystal. Values from VASP.

Results
- symmetry = No. 216
- raw formation energy (eV per atom) = 0.12

Cell and atoms, written as Quantum ESPRESSO input:
```
&SYSTEM
  ibrav = 0, nat = 4, ntyp = 3
/
ATOMIC_SPECIES
La 138.91 La.upf
Re 186.21 Re.upf
Se 78.96 Se.upf
CELL_PARAMETERS angstrom
5.058 0.000 0.000
2.529 4.381 0.000
2.529 1.460 4.130
ATOMIC_POSITIONS angstrom
La 2.529 1.460 1.033
La 0.000 0.000 0.000
Re 5.058 2.920 2.065
Se 7.587 4.381 3.098
```

---

[12]
VASP calculation (PBE) on a relaxed Hf3HCl crystal. Values from VASP.

Results
- symmetry = No. 221
- energy relative to the lowest polymorph listed for this composition (eV per formula unit) = 0.00

Cell and atoms, written as Quantum ESPRESSO input:
```
&SYSTEM
  ibrav = 0, nat = 5, ntyp = 3
/
ATOMIC_SPECIES
Hf 178.49 Hf.upf
Cl 35.45 Cl.upf
H 1.01 H.upf
CELL_PARAMETERS angstrom
-3.254 -2.945 -0.542
0.116 -0.924 4.323
-2.992 3.167 0.757
ATOMIC_POSITIONS angstrom
Hf 0.058 -0.462 2.161
Hf -1.496 1.583 0.379
Cl -3.065 -0.351 2.269
H 0.000 0.000 0.000
Hf -1.627 -1.472 -0.271
```